Rb2PrSi2O6 | PBE | optimized geometry

abc: 6.061 6.061 7.071
angles: 115.43 115.43 59.99
Positions (direct):
Rb  0.216  0.216  0.148
Rb  0.784  0.784  0.852
Pr  0.000  0.000  0.500
Si  0.430  0.430  0.788
Si  0.570  0.570  0.212
O  0.261  0.261  0.733
O  0.261  0.715  0.735
O  0.285  0.739  0.265
O  0.715  0.261  0.735
O  0.739  0.285  0.265
O  0.739  0.739  0.267

Calculated values
**Raw formation energy**: -2.495 eV per atom
**E**: -6.796 eV/atom
**Magnetic moment**: 1.000 μB per cell

FeAs3 | PBE | optimized geometry

abc: 6.031 6.031 4.619
angles: 90.00 90.00 120.00
Positions (direct):
Fe  0.333  0.667  0.250
Fe  0.667  0.333  0.750
As  0.000  0.338  0.000
As  0.000  0.662  0.500
As  0.338  0.000  0.000
As  0.338  0.338  0.500
As  0.662  0.000  0.500
As  0.662  0.662  0.000

Calculated values
**ΔE to the lowest computed polymorph**: 82 meV/atom
**ΔE_f**: 0.129 eV per atom
**E**: -5.474 eV/atom
**Magnetic moment**: 0.002 μB per cell

YZrAsBr2 | PBE | optimized geometry

abc: 5.169 5.169 5.400
angles: 90.00 90.00 90.00
Positions (direct):
Y  0.000  0.000  0.000
Zr  0.500  0.500  0.500
As  0.500  0.500  0.000
Br  0.000  0.500  0.500
Br  0.500  0.000  0.500

Calculated values
**ΔE to the lowest computed polymorph**: 0 meV/atom
**Raw formation energy**: -0.468 eV per atom
**E**: -5.070 eV/atom
**Magnetic moment**: 0.827 μB per cell

Ca2CrPt | PBE | optimized geometry

abc: 10.105 10.105 5.122
angles: 90.00 90.00 90.00
Positions (direct):
Ca  0.102  0.250  0.125
Ca  0.250  0.602  0.375
Ca  0.250  0.898  0.875
Ca  0.398  0.250  0.625
Ca  0.602  0.750  0.625
Ca  0.750  0.102  0.875
Ca  0.750  0.398  0.375
Ca  0.898  0.750  0.125
Cr  0.000  0.000  0.500
Cr  0.000  0.500  0.750
Cr  0.500  0.000  0.250
Cr  0.500  0.500  0.000
Pt  0.000  0.000  0.000
Pt  0.000  0.500  0.250
Pt  0.500  0.000  0.750
Pt  0.500  0.500  0.500

Calculated values
**ΔE to the lowest computed polymorph**: 279 meV/atom
**ΔE_f**: 0.052 eV per atom
**E**: -4.865 eV/atom
**Magnetic moment**: 16.755 μB per cell

Ba2NaTl7 | PBE | optimized geometry

abc: 5.067 5.067 13.457
angles: 90.00 90.00 90.00
Positions (direct):
Ba  0.000  0.500  0.234
Ba  0.500  0.000  0.766
Na  0.000  0.000  0.500
Tl  0.000  0.000  0.000
Tl  0.000  0.500  0.637
Tl  0.000  0.500  0.859
Tl  0.500  0.000  0.141
Tl  0.500  0.000  0.363
Tl  0.500  0.500  0.000
Tl  0.500  0.500  0.500

Calculated values
**ΔE_f**: -0.224 eV per atom
**E**: -2.397 eV/atom
**Magnetic moment**: 0.000 μB per cell

Pa2HgPd8 | PBE | optimized geometry

abc: 8.057 8.057 5.174
angles: 108.64 108.64 123.45
Positions (direct):
Pa  0.182  0.818  0.000
Pa  0.818  0.182  0.000
Hg  0.500  0.500  0.500
Pd  0.005  0.005  0.254
Pd  0.123  0.398  0.763
Pd  0.307  0.693  0.500
Pd  0.398  0.123  0.763
Pd  0.602  0.877  0.237
Pd  0.693  0.307  0.500
Pd  0.877  0.602  0.237
Pd  0.995  0.995  0.746

Calculated values
**ΔE_f**: -0.474 eV per atom
**E**: -6.004 eV/atom
**Magnetic moment**: 0.000 μB per cell